The following is a DFT calculation (GGA-PBE) of a relaxed structure of LaTbPBr2.

Cell lengths 4.1324, 4.1324, 10.7976 Å; angles 90.00, 90.00, 120.00 degrees
Element x y z (fractional)
La 0.0000 0.0000 0.0000
Tb 0.3333 0.6667 0.7056
P 0.6667 0.3333 0.8427
Br 0.0000 0.0000 0.5404
Br 0.3333 0.6667 0.1802

Results
**SG**: P3m1, No. 156
**Total DFT energy (no corrections)**: -5.46 eV/atom
**Density**: 5.1 g cm⁻³

---

The following is a DFT calculation (GGA-PBE) of a relaxed structure of GdZnPd.

Cell lengths 7.0598, 4.1632, 8.2091 Å; angles 90.00, 90.00, 90.00 degrees
Element x y z (fractional)
Gd 0.0451 0.2500 0.1904
Gd 0.4549 0.7500 0.6904
Gd 0.5451 0.2500 0.3096
Gd 0.9549 0.7500 0.8096
Zn 0.1371 0.2500 0.5655
Zn 0.3629 0.7500 0.0655
Zn 0.6371 0.2500 0.9345
Zn 0.8629 0.7500 0.4345
Pd 0.2481 0.7500 0.3826
Pd 0.2519 0.2500 0.8826
Pd 0.7481 0.7500 0.1174
Pd 0.7519 0.2500 0.6174

Results
**Energy of formation**: -0.746 eV per atom
**SG**: Pnma, No. 62
**Offset from the most stable computed form**: 0.0000 eV per atom
**Density**: 9.1 g cm⁻³

---

The following is a DFT calculation (GGA-PBE) of a relaxed structure of Nb3InN5.

Cell lengths 5.4322, 5.4322, 5.4772 Å; angles 90.00, 90.00, 120.00 degrees
Element x y z (fractional)
Nb 0.0000 0.5000 0.0000
Nb 0.5000 0.0000 0.0000
Nb 0.5000 0.5000 0.0000
In 0.0000 0.0000 0.5000
N 0.0000 0.0000 0.0000
N 0.3333 0.6667 0.2498
N 0.3333 0.6667 0.7502
N 0.6667 0.3333 0.2498
N 0.6667 0.3333 0.7502

Results
**SG**: P6/mmm, No. 191
**Total DFT energy (no corrections)**: -7.89 eV/atom
**Density**: 5.5 g cm⁻³

---

The following is a DFT calculation (GGA-PBE) of a relaxed structure of FeCuSnPt.

Cell lengths 4.4158, 4.4158, 4.4158 Å; angles 60.00, 60.00, 60.00 degrees
Element x y z (fractional)
Fe 0.0000 0.0000 0.0000
Cu 0.2500 0.2500 0.2500
Sn 0.7500 0.7500 0.7500
Pt 0.5000 0.5000 0.5000

Results
**SG**: F-43m, No. 216
**Offset from the most stable computed form**: 0.0000 eV per atom
**Density**: 11.8 g cm⁻³

---

The following is a DFT calculation (GGA-PBE) of a relaxed structure of K2Cd2S3O12.

Cell lengths 10.2054, 10.2054, 10.2054 Å; angles 90.00, 90.00, 90.00 degrees
Element x y z (fractional)
K 0.0516 0.0516 0.0516
K 0.1902 0.3098 0.6902
K 0.3098 0.6902 0.1902
K 0.4484 0.9484 0.5516
K 0.5516 0.4484 0.9484
K 0.6902 0.1902 0.3098
K 0.8098 0.8098 0.8098
K 0.9484 0.5516 0.4484
Cd 0.0776 0.9224 0.4224
Cd 0.1766 0.6766 0.8234
Cd 0.3234 0.3234 0.3234
Cd 0.4224 0.0776 0.9224
Cd 0.5776 0.5776 0.5776
Cd 0.6766 0.8234 0.1766
Cd 0.8234 0.1766 0.6766
Cd 0.9224 0.4224 0.0776
S 0.0072 0.2331 0.3750
S 0.1250 0.9928 0.7331
S 0.2331 0.3750 0.0072
S 0.2669 0.6250 0.5072
S 0.3750 0.0072 0.2331
S 0.4928 0.7669 0.8750
S 0.5072 0.2669 0.6250
S 0.6250 0.5072 0.2669
S 0.7331 0.1250 0.9928
S 0.7669 0.8750 0.4928
S 0.8750 0.4928 0.7669
S 0.9928 0.7331 0.1250
O 0.0029 0.6007 0.1863
O 0.0185 0.0906 0.7466
O 0.0226 0.8344 0.2237
O 0.0700 0.8594 0.7533
O 0.0906 0.7466 0.0185
O 0.1007 0.3137 0.9971
O 0.1406 0.2533 0.4300
O 0.1656 0.7237 0.4774
O 0.1863 0.0029 0.6007
O 0.2237 0.0226 0.8344
O 0.2466 0.4815 0.9094
O 0.2467 0.5700 0.6406
O 0.2533 0.4300 0.1406
O 0.2534 0.5185 0.4094
O 0.2763 0.9774 0.3344
O 0.3137 0.9971 0.1007
O 0.3344 0.2763 0.9774
O 0.3594 0.7467 0.9300
O 0.3993 0.6863 0.4971
O 0.4094 0.2534 0.5185
O 0.4300 0.1406 0.2533
O 0.4774 0.1656 0.7237
O 0.4815 0.9094 0.2466
O 0.4971 0.3993 0.6863
O 0.5029 0.8993 0.8137
O 0.5185 0.4094 0.2534
O 0.5226 0.6656 0.7763
O 0.5700 0.6406 0.2467
O 0.5906 0.7534 0.9815
O 0.6007 0.1863 0.0029
O 0.6406 0.2467 0.5700
O 0.6656 0.7763 0.5226
O 0.6863 0.4971 0.3993
O 0.7237 0.4774 0.1656
O 0.7466 0.0185 0.0906
O 0.7467 0.9300 0.3594
O 0.7533 0.0700 0.8594
O 0.7534 0.9815 0.5906
O 0.7763 0.5226 0.6656
O 0.8137 0.5029 0.8993
O 0.8344 0.2237 0.0226
O 0.8594 0.7533 0.0700
O 0.8993 0.8137 0.5029
O 0.9094 0.2466 0.4815
O 0.9300 0.3594 0.7467
O 0.9774 0.3344 0.2763
O 0.9815 0.5906 0.7534
O 0.9971 0.1007 0.3137

Results
**SG**: P2_13, No. 198
**Offset from the most stable computed form**: 0.0047 eV per atom
**Density**: 3.7 g cm⁻³

---

The following is a DFT calculation (GGA-PBE) of a relaxed structure of Dy5Zn4Hg.

Cell lengths 3.5775, 3.5775, 18.1100 Å; angles 90.00, 90.00, 90.00 degrees
Element x y z (fractional)
Dy 0.0000 0.0000 0.0000
Dy 0.0000 0.0000 0.1951
Dy 0.0000 0.0000 0.3894
Dy 0.0000 0.0000 0.6106
Dy 0.0000 0.0000 0.8049
Zn 0.5000 0.5000 0.0977
Zn 0.5000 0.5000 0.2921
Zn 0.5000 0.5000 0.7079
Zn 0.5000 0.5000 0.9023
Hg 0.5000 0.5000 0.5000

Results
**Energy of formation**: -0.373 eV per atom
**SG**: P4/mmm, No. 123
**Density**: 9.1 g cm⁻³

---

The following is a DFT calculation (GGA-PBE) of a relaxed structure of Sc2Al2Ni.

Cell lengths 7.0808, 7.0808, 7.0808 Å; angles 148.86, 148.86, 44.62 degrees
Element x y z (fractional)
Sc 0.2500 0.7500 0.5000
Sc 0.7500 0.2500 0.5000
Al 0.0890 0.0890 0.0000
Al 0.9110 0.9110 0.0000
Ni 0.5000 0.5000 0.0000

Results
**SG**: I4/mmm, No. 139
**Total DFT energy (no corrections)**: -4.77 eV/atom
**Density**: 3.6 g cm⁻³

---

The following is a DFT calculation (GGA-PBE) of a relaxed structure of HoErCo2B2As2.

Cell lengths 3.7816, 3.7816, 8.5488 Å; angles 90.00, 90.00, 90.00 degrees
Element x y z (fractional)
Ho 0.0000 0.0000 0.0000
Er 0.5000 0.5000 0.4689
Co 0.0000 0.5000 0.7341
Co 0.5000 0.0000 0.7341
B 0.0000 0.0000 0.6336
B 0.5000 0.5000 0.8354
As 0.0000 0.0000 0.3767
As 0.5000 0.5000 0.0933

Results
**SG**: P4mm, No. 99
**Total DFT energy (no corrections)**: -6.40 eV/atom
**Density**: 8.4 g cm⁻³